Crystalline AcLaDyIn at its relaxed geometry, computed with PBE-GGA.

a b c (Å): 5.704 5.704 5.704
angles (deg): 60.00 60.00 60.00
Positions (direct):
1 Ac 0.000 0.000 0.000
2 La 0.250 0.250 0.250
3 Dy 0.750 0.750 0.750
4 In 0.500 0.500 0.500

Output
Fermi-level density of states ... 7.2 states/eV/cell
Electronic total energy ... -16.70 eV for the cell shown
Symmetry ... F-43m
DFT formation energy ... -80 meV/atom

Crystalline BaSeBr at its relaxed geometry, computed with PBE-GGA.

a b c (Å): 5.334 5.334 11.589
angles (deg): 90.34 90.34 50.45
Positions (direct):
1 Ba 0.045 0.045 0.310
2 Ba 0.955 0.955 0.690
3 Se 0.375 0.375 0.487
4 Se 0.625 0.625 0.513
5 Br 0.267 0.267 0.819
6 Br 0.733 0.733 0.181

Output
Formation energy from raw total energies ... -1.70 eV per atom
Electronic total energy ... -24.37 eV for the cell shown
Symmetry ... C2/m
Distance to the lowest polymorph of the same formula ... 0.043 eV per atom

Crystalline TcSnSN2 at its relaxed geometry, computed with PBE-GGA.

a b c (Å): 3.995 3.995 5.510
angles (deg): 90.00 90.00 90.00
Positions (direct):
1 Tc 0.000 0.000 0.000
2 Sn 0.500 0.500 0.500
3 S 0.500 0.500 0.000
4 N 0.000 0.500 0.500
5 N 0.500 0.000 0.500

Output
Formation energy from raw total energies ... 1.63 eV per atom
Fermi-level density of states ... 3.0 states/eV/cell
Electronic total energy ... -26.99 eV for the cell shown
Symmetry ... P4/mmm
Distance to the lowest polymorph of the same formula ... 1.226 eV per atom

Crystalline TbDy3Te6 at its relaxed geometry, computed with PBE-GGA.

a b c (Å): 12.466 4.350 12.801
angles (deg): 90.00 109.35 90.00
Positions (direct):
1 Tb 0.044 0.250 0.194
2 Tb 0.956 0.750 0.806
3 Dy 0.155 0.250 0.580
4 Dy 0.316 0.750 0.998
5 Dy 0.431 0.250 0.334
6 Dy 0.569 0.750 0.666
7 Dy 0.684 0.250 0.002
8 Dy 0.845 0.750 0.420
9 Te 0.084 0.750 0.399
10 Te 0.111 0.250 0.967
11 Te 0.191 0.750 0.750
12 Te 0.251 0.750 0.220
13 Te 0.393 0.250 0.562
14 Te 0.484 0.250 0.118
15 Te 0.516 0.750 0.882
16 Te 0.607 0.750 0.438
17 Te 0.749 0.250 0.780
18 Te 0.809 0.250 0.250
19 Te 0.889 0.750 0.033
20 Te 0.916 0.250 0.601

Output
Formation energy from raw total energies ... -1.38 eV per atom
Electronic total energy ... -102.10 eV for the cell shown
Symmetry ... P2_1/m
Distance to the lowest polymorph of the same formula ... 0.000 eV per atom

Crystalline Ce2PrGe at its relaxed geometry, computed with PBE-GGA.

a b c (Å): 9.834 9.834 9.834
angles (deg): 22.75 22.75 22.75
Positions (direct):
1 Ce 0.000 0.000 0.000
2 Ce 0.203 0.203 0.203
3 Pr 0.435 0.435 0.435
4 Ge 0.601 0.601 0.601

Output
Fermi-level density of states ... 7.7 states/eV/cell
Electronic total energy ... -21.91 eV for the cell shown
Symmetry ... R3m
Distance to the lowest polymorph of the same formula ... 0.297 eV per atom
DFT formation energy ... -160 meV/atom

Crystalline K2Ta2F at its relaxed geometry, computed with PBE-GGA.

a b c (Å): 8.708 8.708 8.708
angles (deg): 152.12 152.12 39.84
Positions (direct):
1 K 0.250 0.750 0.500
2 K 0.750 0.250 0.500
3 Ta 0.068 0.068 0.000
4 Ta 0.932 0.932 0.000
5 F 0.500 0.500 0.000

Output
Formation energy from raw total energies ... 1.50 eV per atom
Fermi-level density of states ... 3.6 states/eV/cell
Electronic total energy ... -20.27 eV for the cell shown
Symmetry ... I4/mmm
Distance to the lowest polymorph of the same formula ... 0.557 eV per atom

Crystalline CrHg2Cl at its relaxed geometry, computed with PBE-GGA.

a b c (Å): 3.500 3.500 9.592
angles (deg): 95.50 95.50 61.40
Positions (direct):
1 Cr 0.000 0.000 0.000
2 Hg 0.702 0.702 0.210
3 Hg 0.736 0.736 0.518
4 Cl 0.308 0.308 0.846

Output
Formation energy from raw total energies ... -0.08 eV per atom
Fermi-level density of states ... 3.8 states/eV/cell
Electronic total energy ... -12.40 eV for the cell shown
Symmetry ... Cm
Distance to the lowest polymorph of the same formula ... 0.015 eV per atom

Crystalline Nd5ZrSn5 at its relaxed geometry, computed with PBE-GGA.

a b c (Å): 7.884 7.884 8.457
angles (deg): 106.45 106.45 46.74
Positions (direct):
1 Nd 0.000 0.000 0.000
2 Nd 0.324 0.324 0.170
3 Nd 0.339 0.339 0.678
4 Nd 0.661 0.661 0.322
5 Nd 0.676 0.676 0.830
6 Zr 0.000 0.000 0.500
7 Sn 0.159 0.159 0.348
8 Sn 0.159 0.159 0.821
9 Sn 0.500 0.500 0.500
10 Sn 0.841 0.841 0.179
11 Sn 0.841 0.841 0.652

Output
Fermi-level density of states ... 8.4 states/eV/cell
Electronic total energy ... -57.32 eV for the cell shown
Symmetry ... C2/m
DFT formation energy ... -447 meV/atom